(1)
# Sr2ZnCl

A PBEsol-optimized structure of Sr2ZnCl (SCAN, the Alexandria database).

Structure (POSCAR):
```
Sr2ZnCl
1.0
-0.150 5.318 1.395
-2.319 1.534 4.746
3.137 1.852 4.122
Sr Zn Cl
2 1 1
direct
0.750 0.750 0.750
0.250 0.250 0.250
0.500 0.500 0.500
0.000 0.000 0.000
```

- polymorph energy (0 for the lowest one) (meV/atom) = 295.8
- uncorrected formation energy (eV/atom) = -0.738
- raw total energy (eV per atom) = -17.25
- symmetry = Fm-3m

(2)
# LaCrSe2

A PBEsol-optimized structure of LaCrSe2 (SCAN, the Alexandria database).

Structure (POSCAR):
```
LaCrSe2
1.0
4.111 0.000 0.000
0.000 4.111 0.000
0.000 0.000 5.776
Se La Cr
2 1 1
direct
0.500 0.500 0.375
0.000 0.000 0.875
0.500 0.500 0.874
0.000 0.000 0.376
```

- polymorph energy (0 for the lowest one) (meV/atom) = 0.0
- uncorrected formation energy (eV/atom) = -1.387
- raw total energy (eV per atom) = -26.80
- symmetry = P4mm

(3)
# NbGe2PbSe

A PBEsol-optimized structure of NbGe2PbSe (SCAN, the Alexandria database).

Structure (POSCAR):
```
NbGe2PbSe
1.0
-3.345 3.446 -0.661
-3.509 -3.282 0.644
0.012 1.039 5.357
Nb Pb Se Ge
1 1 1 2
direct
0.500 0.500 0.500
0.000 0.000 0.500
0.000 0.000 0.000
0.500 0.000 0.000
0.000 0.500 0.000
```

- uncorrected formation energy (eV/atom) = 1.167
- raw total energy (eV per atom) = -32.27
- symmetry = P4/mmm

(4)
# Hg2PbBr

A PBEsol-optimized structure of Hg2PbBr (SCAN, the Alexandria database).

Structure (POSCAR):
```
Hg2PbBr
1.0
-0.476 1.012 -5.173
2.883 -2.723 -3.505
-2.339 -3.524 -3.182
Br Hg Pb
1 2 1
direct
0.500 0.500 0.500
0.750 0.750 0.750
0.000 0.000 0.000
0.250 0.250 0.250
```

- polymorph energy (0 for the lowest one) (meV/atom) = 70.0
- uncorrected formation energy (eV/atom) = -0.075
- raw total energy (eV per atom) = -57.97
- symmetry = F-43m

(5)
# HfPd2O

A PBEsol-optimized structure of HfPd2O (SCAN, the Alexandria database).

Structure (POSCAR):
```
HfPd2O
1.0
7.786 0.000 0.000
-3.893 3.794 2.219
0.000 4.128 6.601
Pd Hf O
4 2 2
direct
0.523 0.750 0.375
0.375 0.250 0.227
0.227 0.750 0.875
0.875 0.250 0.523
0.000 0.000 0.000
0.750 0.500 0.750
0.250 0.500 0.250
0.500 0.000 0.500
```

- uncorrected formation energy (eV/atom) = -0.839
- raw total energy (eV per atom) = -34.45
- symmetry = I-42d

(6)
# CoH4C2O6

A PBEsol-optimized structure of CoH4C2O6 (SCAN, the Alexandria database).

Structure (POSCAR):
```
CoH4C2O6
1.0
-5.060 -1.409 0.393
-2.011 -3.922 -4.653
-0.550 -6.691 4.229
H O C Co
8 12 4 2
direct
0.498 0.659 0.637
0.502 0.341 0.363
0.206 0.159 0.137
0.878 0.842 0.644
0.122 0.158 0.356
0.636 0.342 0.144
0.794 0.841 0.863
0.364 0.658 0.856
0.273 0.084 0.244
0.227 0.747 0.072
0.399 0.584 0.744
0.727 0.916 0.756
0.383 0.249 0.573
0.047 0.753 0.428
0.205 0.251 0.927
0.601 0.416 0.256
0.773 0.253 0.928
0.795 0.749 0.073
0.953 0.247 0.572
0.617 0.751 0.427
0.972 0.749 0.149
0.028 0.251 0.851
0.870 0.751 0.351
0.130 0.249 0.649
0.578 0.250 0.750
0.422 0.750 0.250
```

- raw total energy (eV per atom) = -7.95
- symmetry = C2/c

(7)
# ZrCo3N

A PBEsol-optimized structure of ZrCo3N (SCAN, the Alexandria database).

Structure (POSCAR):
```
ZrCo3N
1.0
3.810 0.000 0.000
0.000 3.810 0.000
0.000 0.000 3.810
Co N Zr
3 1 1
direct
0.000 0.000 0.500
0.000 0.500 0.000
0.500 0.000 0.000
0.000 0.000 0.000
0.500 0.500 0.500
```

- uncorrected formation energy (eV/atom) = -0.149
- raw total energy (eV per atom) = -18.53
- symmetry = Pm-3m

(8)
# ReNiP2

A PBEsol-optimized structure of ReNiP2 (SCAN, the Alexandria database).

Structure (POSCAR):
```
ReNiP2
1.0
-1.503 2.529 0.174
-1.415 -2.218 -3.892
-1.112 -2.565 3.776
P Re Ni
2 1 1
direct
0.000 0.500 0.000
0.000 0.000 0.500
0.000 0.000 0.000
0.000 0.500 0.500
```

- polymorph energy (0 for the lowest one) (meV/atom) = 486.0
- raw total energy (eV per atom) = -26.65
- symmetry = C2/m
- energy relative to the elements (eV per atom) = 0.363